Record 1
AcLa3Al8 | the Alexandria database | PBE | optimized geometry; volume = 274.87 Å³ per cell; total DFT energy (no corrections) = -4.5350 eV/atom; space-group type = No. 160
1.0
-0.773 -1.593 -5.518
3.499 -3.952 -2.392
-4.940 -8.724 0.168
Al La Ac
8 3 1
Direct
0.438 0.939 0.184
0.438 0.438 0.184
0.187 0.187 0.439
0.937 0.937 0.691
0.688 0.688 0.937
0.939 0.438 0.184
0.937 0.435 0.691
0.435 0.937 0.691
0.500 0.500 0.500
0.000 0.000 0.999
0.375 0.375 0.875
0.875 0.875 0.376

Record 2
Ce2AsN | the Alexandria database | PBE | optimized geometry; volume = 82.14 Å³ per cell; ΔE to the lowest computed polymorph = 0.0 meV per atom; uncorrected formation energy = -1328 meV/atom; space-group type = No. 166
1.0
3.810 0.000 0.000
1.905 3.300 0.000
1.905 1.100 6.533
As N Ce
1 1 2
Direct
0.500 0.500 0.500
0.000 0.000 0.000
0.735 0.735 0.794
0.265 0.265 0.206

Record 3
RbLiSnAs2 | the Alexandria database | PBE | optimized geometry; volume = 303.54 Å³ per cell; total DFT energy (no corrections) = -3.6726 eV/atom; space-group type = No. 12
1.0
-0.464 2.127 -3.758
0.906 -7.067 -1.601
-10.082 0.083 1.292
As Li Rb Sn
4 2 2 2
Direct
0.373 0.745 0.687
0.129 0.257 0.936
0.627 0.255 0.313
0.871 0.743 0.064
0.683 0.365 0.064
0.317 0.635 0.936
0.646 0.291 0.667
0.354 0.709 0.333
0.941 0.883 0.832
0.059 0.117 0.168

Record 4
Gd2ErIn | the Alexandria database | PBE | optimized geometry; volume = 128.19 Å³ per cell; ΔE to the lowest computed polymorph = 383.9 meV per atom; space-group type = No. 166
1.0
3.500 0.000 0.000
1.750 3.031 0.000
1.750 1.010 12.081
In Er Gd
1 1 2
Direct
0.000 0.000 0.000
0.500 0.500 0.500
0.089 0.089 0.734
0.911 0.911 0.266

Record 5
Tc2Ni | the Alexandria database | PBE | optimized geometry; volume = 80.49 Å³ per cell; ΔE to the lowest computed polymorph = 84.3 meV per atom; space-group type = No. 63
1.0
4.214 2.109 -3.369
-5.199 -2.534 -0.334
-1.677 3.434 0.052
Tc Ni
4 2
Direct
0.586 0.414 0.250
0.752 0.248 0.750
0.414 0.586 0.750
0.248 0.752 0.250
0.080 0.920 0.750
0.920 0.080 0.250

Record 6
AcPa2GeS8 | the Alexandria database | PBE | optimized geometry; volume = 324.47 Å³ per cell; uncorrected formation energy = -1282 meV/atom; space-group type = No. 10
1.0
-0.369 5.448 3.139
-2.179 -2.692 5.102
7.821 -1.069 2.775
S Ac Ge Pa
8 1 1 2
Direct
0.164 0.765 0.216
0.635 0.715 0.500
0.365 0.285 0.500
0.836 0.235 0.784
0.164 0.765 0.784
0.836 0.235 0.216
0.346 0.277 0.000
0.654 0.723 0.000
0.000 0.000 0.500
0.000 0.000 0.000
0.500 0.500 0.758
0.500 0.500 0.242

Record 7
Ti6GeAs3 | the Alexandria database | PBE | optimized geometry; volume = 355.31 Å³ per cell; total DFT energy (no corrections) = -7.2163 eV/atom; space-group type = No. 36
1.0
-4.084 -4.888 1.401
5.349 -3.260 4.219
-3.939 4.588 4.526
Ti As Ge
12 6 2
Direct
0.158 0.380 0.272
0.746 0.999 0.001
0.246 0.001 0.999
0.100 0.751 0.249
0.600 0.249 0.751
0.260 0.072 0.531
0.658 0.620 0.728
0.760 0.531 0.072
0.760 0.928 0.469
0.658 0.272 0.380
0.260 0.469 0.928
0.158 0.728 0.620
0.346 0.419 0.581
0.987 0.712 0.911
0.487 0.288 0.089
0.987 0.089 0.288
0.846 0.581 0.419
0.487 0.911 0.712
0.484 0.819 0.181
0.984 0.181 0.819

Record 8
RbNiPdBr6 | the Alexandria database | PBE | optimized geometry; volume = 303.74 Å³ per cell; uncorrected formation energy = -582 meV/atom; space-group type = No. 5
1.0
-5.958 -0.395 2.881
-0.804 -3.159 6.007
1.383 6.847 3.524
Rb Br Ni Pd
1 6 1 1
Direct
0.991 0.005 0.000
0.379 0.637 0.301
0.379 0.984 0.699
0.632 0.370 0.676
0.632 0.997 0.324
0.999 0.630 0.683
0.999 0.371 0.317
0.657 0.672 0.500
0.331 0.334 0.500

Record 9
KV3I | the Alexandria database | PBE | optimized geometry; volume = 94.03 Å³ per cell; ΔE to the lowest computed polymorph = 1119.7 meV per atom; uncorrected formation energy = 2703 meV/atom; space-group type = No. 221
1.0
-0.201 -3.766 -2.541
-0.322 -2.526 3.768
-4.531 0.347 -0.155
I V K
1 3 1
Direct
0.500 0.500 0.500
0.000 0.000 0.500
0.000 0.500 0.000
0.500 0.000 0.000
0.000 0.000 0.000

Record 10
Er2HgIr | the Alexandria database | PBE | optimized geometry; volume = 104.32 Å³ per cell; ΔE to the lowest computed polymorph = 112.5 meV per atom; space-group type = No. 160
1.0
4.070 0.000 0.000
2.035 3.525 0.000
2.035 1.175 7.272
Hg Er Ir
1 2 1
Direct
0.501 0.501 0.496
0.268 0.268 0.197
0.066 0.066 0.803
0.665 0.665 0.004

Record 11
Cs2ScAgI6 | the Alexandria database | PBE | optimized geometry; volume = 424.84 Å³ per cell; uncorrected formation energy = -1154 meV/atom; space-group type = No. 225
1.0
-6.358 4.109 3.727
-7.949 -1.409 -2.455
-5.309 -4.155 5.074
I Ag Cs Sc
6 1 2 1
Direct
0.756 0.244 0.244
0.756 0.756 0.244
0.244 0.756 0.244
0.244 0.244 0.756
0.756 0.244 0.756
0.244 0.756 0.756
0.500 0.500 0.500
0.750 0.750 0.750
0.250 0.250 0.250
0.000 0.000 0.000

Record 12
MgTaSeN2 | the Alexandria database | PBE | optimized geometry; volume = 86.76 Å³ per cell; ΔE to the lowest computed polymorph = 0.0 meV per atom; uncorrected formation energy = -242 meV/atom; space-group type = No. 123
1.0
-3.211 -1.371 1.942
-0.642 -2.641 -2.928
3.114 -3.627 2.588
Ta N Se Mg
1 2 1 1
Direct
0.000 0.000 0.000
0.000 0.500 0.000
0.500 0.000 0.000
0.000 0.000 0.500
0.500 0.500 0.500

Record 13
Zr2GeC2 | the Alexandria database | PBE | optimized geometry; volume = 85.65 Å³ per cell; ΔE to the lowest computed polymorph = 0.0 meV per atom; space-group type = No. 139
1.0
-3.554 -1.950 -0.613
0.987 -2.712 2.911
-3.509 0.623 4.656
Zr C Ge
2 2 1
Direct
0.672 0.672 0.656
0.328 0.328 0.344
0.750 0.250 0.500
0.250 0.750 0.500
0.000 0.000 0.000

Record 14
Tb3Dy4Bi4 | the Alexandria database | PBE | optimized geometry; volume = 338.88 Å³ per cell; total DFT energy (no corrections) = -4.8863 eV/atom; space-group type = No. 71
1.0
-2.367 3.084 -1.294
-7.235 -3.601 4.652
7.050 4.988 5.479
Dy Tb Bi
4 3 4
Direct
0.334 0.519 0.668
0.666 0.851 0.332
0.666 0.481 0.332
0.334 0.149 0.668
0.898 0.898 0.795
0.000 0.500 0.000
0.102 0.102 0.205
0.500 0.795 0.000
0.500 0.205 0.000
0.262 0.762 0.524
0.738 0.238 0.476

Record 15
La8Tc2Sn | the Alexandria database | PBE | optimized geometry; volume = 360.51 Å³ per cell; total DFT energy (no corrections) = -5.9679 eV/atom; space-group type = No. 12
1.0
6.266 -0.175 -1.910
-0.589 6.436 -2.524
-0.688 -0.174 9.254
Tc La Sn
2 8 1
Direct
0.287 0.725 0.449
0.713 0.275 0.551
0.942 0.584 0.168
0.533 0.114 0.744
0.533 0.630 0.744
0.467 0.370 0.256
0.058 0.416 0.832
0.467 0.886 0.256
0.933 0.796 0.592
0.067 0.204 0.408
0.000 0.000 0.000

Record 16
Ac3TlTe2 | the Alexandria database | PBE | optimized geometry; volume = 923.37 Å³ per cell; uncorrected formation energy = -1132 meV/atom; space-group type = No. 14
1.0
-1.583 -1.613 6.356
-1.490 -9.045 -2.652
13.762 -3.045 2.654
Tl Ac Te
4 12 8
Direct
0.250 0.871 0.086
0.750 0.629 0.586
0.250 0.371 0.414
0.750 0.129 0.914
0.751 0.372 0.082
0.249 0.128 0.582
0.251 0.124 0.249
0.250 0.622 0.582
0.250 0.122 0.918
0.749 0.876 0.751
0.751 0.872 0.418
0.750 0.378 0.418
0.251 0.624 0.251
0.249 0.628 0.918
0.749 0.376 0.749
0.750 0.878 0.082
0.749 0.123 0.583
0.251 0.377 0.083
0.249 0.374 0.752
0.249 0.874 0.748
0.251 0.877 0.417
0.749 0.623 0.917
0.751 0.626 0.248
0.751 0.126 0.252

Record 17
Ce2In8Ni | the Alexandria database | PBE | optimized geometry; volume = 268.70 Å³ per cell; total DFT energy (no corrections) = -3.9410 eV/atom; space-group type = No. 123
1.0
-4.550 0.704 0.830
-1.004 -4.088 -2.039
1.098 -5.674 10.834
In Ni Ce
8 1 2
Direct
0.500 0.000 0.500
0.000 0.500 0.120
0.500 0.500 0.692
0.500 0.000 0.880
0.500 0.500 0.308
0.500 0.000 0.120
0.000 0.500 0.880
0.000 0.500 0.500
0.000 0.000 0.000
0.000 0.000 0.306
0.000 0.000 0.694

Record 18
Na2YPaBi4 | the Alexandria database | PBE | optimized geometry; volume = 260.68 Å³ per cell; total DFT energy (no corrections) = -4.5403 eV/atom; space-group type = No. 10
1.0
-4.450 2.409 0.803
-3.608 -6.445 -0.660
2.519 2.291 7.090
Bi Y Na Pa
4 1 2 1
Direct
0.500 0.751 0.767
0.500 0.249 0.233
0.000 0.255 0.764
0.000 0.745 0.236
0.000 0.000 0.000
0.000 0.500 0.500
0.500 0.000 0.500
0.500 0.500 0.000

Record 19
B5C7 | the Alexandria database | PBE | optimized geometry; volume = 100.59 Å³ per cell; ΔE to the lowest computed polymorph = 86.8 meV per atom; space-group type = No. 156
1.0
2.659 0.000 0.000
-1.330 2.303 0.000
0.000 0.000 16.424
C B
7 5
Direct
0.333 0.667 0.038
0.333 0.667 0.510
0.667 0.333 0.271
0.667 0.333 0.177
0.667 0.333 0.771
0.000 0.000 0.005
0.000 0.000 0.914
0.667 0.333 0.873
0.333 0.667 0.136
0.000 0.000 0.510
0.000 0.000 0.284
0.333 0.667 0.761

Record 20
Mn8Si2C | the Alexandria database | PBE | optimized geometry; volume = 119.87 Å³ per cell; uncorrected formation energy = -109 meV/atom; space-group type = No. 47
1.0
3.987 0.000 0.000
0.000 2.870 0.000
0.000 0.000 10.479
Si Mn C
2 8 1
Direct
0.000 0.000 0.317
0.000 0.000 0.683
0.500 0.500 0.695
0.500 0.000 0.500
0.000 0.500 0.124
0.500 0.000 0.116
0.000 0.500 0.500
0.000 0.500 0.876
0.500 0.500 0.305
0.500 0.000 0.884
0.000 0.000 0.000

Record 21
LaCuGeN | the Alexandria database | PBE | optimized geometry; volume = 134.44 Å³ per cell; uncorrected formation energy = -751 meV/atom; space-group type = No. 129
1.0
-1.047 -1.021 -3.637
1.231 -3.661 0.673
-7.969 -2.148 2.897
Ge Cu La N
2 2 2 2
Direct
0.500 0.000 0.660
0.000 0.500 0.340
0.500 0.500 0.500
0.000 0.000 0.500
0.000 0.500 0.848
0.500 0.000 0.152
0.500 0.000 0.879
0.000 0.500 0.121

Record 22
SrCdSnO4 | the Alexandria database | PBE | optimized geometry; volume = 222.53 Å³ per cell; uncorrected formation energy = -1840 meV/atom; space-group type = No. 74
1.0
6.783 0.000 0.000
-3.391 5.986 -0.186
0.000 -3.397 5.587
O Sn Cd Sr
8 2 2 2
Direct
0.288 0.992 0.746
0.707 0.414 0.222
0.293 0.586 0.308
0.293 0.586 0.778
0.707 0.414 0.692
0.704 0.992 0.746
0.712 0.008 0.254
0.296 0.008 0.254
0.500 0.000 0.000
0.500 0.000 0.500
0.000 0.500 0.500
0.500 0.500 0.500
0.136 0.271 0.886
0.864 0.729 0.114